A relaxed PuScMnGa crystal, computed with GGA-PBE.

- Energy relative to the elements: -0.131 eV/atom
- Total energy: -8.3455 eV per atom

a b c (Å): 6.8261 6.8261 6.8261
angles (deg): 90.00 90.00 90.00
Space group F-43m (No. 216)
Symmetry-distinct sites (fractional):
Pu 0.0000 0.0000 0.0000 x4
Sc 0.0000 0.0000 0.5000 x4
Mn 0.2500 0.2500 0.7500 x4
Ga 0.2500 0.2500 0.2500 x4